## NaBeV (PBE-GGA)

Data for a relaxed NaBeV crystal.

```
data_NaBeV
_chemical_formula_sum 'Na2 Be2 V2'
_symmetry_space_group_name_H-M 'P 1 m 1'
_symmetry_Int_Tables_number 6
_symmetry_space_group_name_Hall 'P -2y'
_cell_length_a 3.320
_cell_length_b 3.315
_cell_length_c 10.704
_cell_angle_alpha 90.00
_cell_angle_beta 98.71
_cell_angle_gamma 90.00
loop_
_atom_site_label
_atom_site_type_symbol
_atom_site_fract_x
_atom_site_fract_y
_atom_site_fract_z
Na1 Na 0.000 0.000 0.000
Na2 Na 0.352 0.500 0.699
Be1 Be 0.133 0.500 0.253
Be2 Be 0.633 0.000 0.253
V1 V 0.216 0.000 0.423
V2 V 0.717 0.500 0.424
```

Properties
D(E_F) in states/eV/cell: 3.13
Magnetization in μB/f.u.: 0.0
ΔE_f in eV per formula unit: 1.09
VASP energy in eV/atom: -4.36

---

## NaBeV (PBE-GGA)

Data for a relaxed NaBeV crystal.

```
data_NaBeV
_chemical_formula_sum 'Na4 Be4 V4'
_symmetry_space_group_name_H-M 'P n m a'
_symmetry_Int_Tables_number 62
_symmetry_space_group_name_Hall '-P 2ac 2n'
_cell_length_a 8.070
_cell_length_b 2.544
_cell_length_c 9.229
_cell_angle_alpha 90.00
_cell_angle_beta 90.00
_cell_angle_gamma 90.00
loop_
_atom_site_label
_atom_site_type_symbol
_atom_site_fract_x
_atom_site_fract_y
_atom_site_fract_z
Na1 Na 0.055 0.250 0.145
Be1 Be 0.229 0.750 0.373
V1 V 0.098 0.250 0.569
```

Properties
D(E_F) in states/eV/cell: 9.27
Magnetization in μB/f.u.: 0.0
ΔE_f in eV per formula unit: 2.05
VASP energy in eV/atom: -4.04

---

## NaBeV (PBE-GGA)

Data for a relaxed NaBeV crystal.

```
data_NaBeV
_chemical_formula_sum 'Na2 Be2 V2'
_symmetry_space_group_name_H-M 'P 1'
_symmetry_Int_Tables_number 1
_symmetry_space_group_name_Hall 'P 1'
_cell_length_a 2.744
_cell_length_b 4.272
_cell_length_c 9.811
_cell_angle_alpha 80.67
_cell_angle_beta 83.35
_cell_angle_gamma 72.14
loop_
_atom_site_label
_atom_site_type_symbol
_atom_site_fract_x
_atom_site_fract_y
_atom_site_fract_z
Na1 Na 0.000 0.000 0.000
Na2 Na 0.413 0.584 0.705
Be1 Be 0.355 0.071 0.259
Be2 Be 0.676 0.489 0.214
V1 V 0.052 0.648 0.394
V2 V 0.626 0.151 0.466
```

Properties
D(E_F) in states/eV/cell: 3.50
Magnetization in μB/f.u.: 0.0
ΔE_f in eV per formula unit: 1.28
VASP energy in eV/atom: -4.29

---

## NaBeV (PBE-GGA)

Data for a relaxed NaBeV crystal.

```
data_NaBeV
_chemical_formula_sum 'Na2 Be2 V2'
_symmetry_space_group_name_H-M 'P 63/m m c'
_symmetry_Int_Tables_number 194
_symmetry_space_group_name_Hall '-P 6c 2c'
_cell_length_a 4.4243
_cell_length_b 4.4243
_cell_length_c 9.5204
_cell_angle_alpha 90.00
_cell_angle_beta 90.00
_cell_angle_gamma 120.00
loop_
_atom_site_label
_atom_site_type_symbol
_atom_site_fract_x
_atom_site_fract_y
_atom_site_fract_z
Na1 Na 0.3333 0.6667 0.2500
Be1 Be 0.0000 0.0000 0.2500
V1 V 0.0000 0.0000 0.0000
```

Properties
D(E_F) in states/eV/cell: 7.46
Magnetization in μB/f.u.: 3.9
ΔE_f in eV per formula unit: 5.13
VASP energy in eV/atom: -3.01

---

## NaBeV (PBE-GGA)

Data for a relaxed NaBeV crystal.

```
data_NaBeV
_chemical_formula_sum 'Na2 Be2 V2'
_symmetry_space_group_name_H-M 'P -1'
_symmetry_Int_Tables_number 2
_symmetry_space_group_name_Hall '-P 1'
_cell_length_a 4.016
_cell_length_b 4.936
_cell_length_c 5.574
_cell_angle_alpha 98.73
_cell_angle_beta 91.14
_cell_angle_gamma 95.63
loop_
_atom_site_label
_atom_site_type_symbol
_atom_site_fract_x
_atom_site_fract_y
_atom_site_fract_z
Na1 Na 0.249 0.256 0.030
Be1 Be 0.236 0.389 0.525
V1 V 0.302 0.883 0.498
```

Properties
D(E_F) in states/eV/cell: 4.04
Magnetization in μB/f.u.: 0.0
ΔE_f in eV per formula unit: 1.70
VASP energy in eV/atom: -4.15

---

## NaBeV (PBE-GGA)

Data for a relaxed NaBeV crystal.

```
data_NaBeV
_chemical_formula_sum 'Na2 Be2 V2'
_symmetry_space_group_name_H-M 'P 1'
_symmetry_Int_Tables_number 1
_symmetry_space_group_name_Hall 'P 1'
_cell_length_a 3.339
_cell_length_b 4.229
_cell_length_c 9.103
_cell_angle_alpha 79.11
_cell_angle_beta 89.44
_cell_angle_gamma 66.81
loop_
_atom_site_label
_atom_site_type_symbol
_atom_site_fract_x
_atom_site_fract_y
_atom_site_fract_z
Na1 Na 0.000 0.000 0.000
Na2 Na 0.355 0.325 0.306
Be1 Be 0.013 0.992 0.637
Be2 Be 0.644 0.724 0.784
V1 V 0.327 0.361 0.704
V2 V 0.684 0.656 0.544
```

Properties
D(E_F) in states/eV/cell: 3.97
Magnetization in μB/f.u.: 0.0
ΔE_f in eV per formula unit: 1.40
VASP energy in eV/atom: -4.25

---

## NaBeV (PBE-GGA)

Data for a relaxed NaBeV crystal.

```
data_NaBeV
_chemical_formula_sum 'Na4 Be4 V4'
_symmetry_space_group_name_H-M 'C 1 m 1'
_symmetry_Int_Tables_number 8
_symmetry_space_group_name_Hall 'C -2y'
_cell_length_a 6.334
_cell_length_b 3.656
_cell_length_c 10.258
_cell_angle_alpha 90.00
_cell_angle_beta 101.97
_cell_angle_gamma 90.00
loop_
_atom_site_label
_atom_site_type_symbol
_atom_site_fract_x
_atom_site_fract_y
_atom_site_fract_z
Na1 Na 0.000 0.000 0.000
Na2 Na 0.235 0.000 0.699
Be1 Be 0.117 0.000 0.349
Be2 Be 0.284 0.500 0.349
V1 V 0.414 0.000 0.240
V2 V 0.487 0.000 0.459
```

Properties
D(E_F) in states/eV/cell: 7.16
Magnetization in μB/f.u.: 0.0
ΔE_f in eV per formula unit: 1.15
VASP energy in eV/atom: -4.34

---

## NaBeV (PBE-GGA)

Data for a relaxed NaBeV crystal.

```
data_NaBeV
_chemical_formula_sum 'Na2 Be2 V2'
_symmetry_space_group_name_H-M 'P 1'
_symmetry_Int_Tables_number 1
_symmetry_space_group_name_Hall 'P 1'
_cell_length_a 2.633
_cell_length_b 5.373
_cell_length_c 7.388
_cell_angle_alpha 87.25
_cell_angle_beta 81.24
_cell_angle_gamma 78.38
loop_
_atom_site_label
_atom_site_type_symbol
_atom_site_fract_x
_atom_site_fract_y
_atom_site_fract_z
Na1 Na 0.000 0.000 0.000
Na2 Na 0.349 0.498 0.255
Be1 Be 0.303 0.000 0.417
Be2 Be 0.676 0.234 0.597
V1 V 0.009 0.501 0.815
V2 V 0.717 0.728 0.629
```

Properties
D(E_F) in states/eV/cell: 4.12
Magnetization in μB/f.u.: 0.0
ΔE_f in eV per formula unit: 1.86
VASP energy in eV/atom: -4.10

---

## Na3BeV (PBE-GGA)

Data for a relaxed Na3BeV crystal.

```
data_Na3BeV
_chemical_formula_sum 'Na3 Be1 V1'
_symmetry_space_group_name_H-M 'P m -3 m'
_symmetry_Int_Tables_number 221
_symmetry_space_group_name_Hall '-P 4 2 3'
_cell_length_a 5.260
_cell_length_b 5.260
_cell_length_c 5.260
_cell_angle_alpha 90.00
_cell_angle_beta 90.00
_cell_angle_gamma 90.00
loop_
_atom_site_label
_atom_site_type_symbol
_atom_site_fract_x
_atom_site_fract_y
_atom_site_fract_z
Na1 Na 0.000 0.000 0.500
Be1 Be 0.000 0.000 0.000
V1 V 0.500 0.500 0.500
```

Properties
D(E_F) in states/eV/cell: 5.99
Magnetization in μB/f.u.: 4.1
ΔE_f in eV per formula unit: 5.94
VASP energy in eV/atom: -2.17

---

## NaBeV (PBE-GGA)

Data for a relaxed NaBeV crystal.

```
data_NaBeV
_chemical_formula_sum 'Na2 Be2 V2'
_symmetry_space_group_name_H-M 'P 1'
_symmetry_Int_Tables_number 1
_symmetry_space_group_name_Hall 'P 1'
_cell_length_a 2.723
_cell_length_b 3.225
_cell_length_c 11.484
_cell_angle_alpha 90.10
_cell_angle_beta 90.25
_cell_angle_gamma 90.00
loop_
_atom_site_label
_atom_site_type_symbol
_atom_site_fract_x
_atom_site_fract_y
_atom_site_fract_z
Na1 Na 0.000 0.000 0.000
Na2 Na 0.486 0.498 0.283
Be1 Be 0.985 0.998 0.466
Be2 Be 0.990 0.000 0.667
V1 V 0.487 0.499 0.563
V2 V 0.494 0.501 0.774
```

Properties
D(E_F) in states/eV/cell: 3.85
Magnetization in μB/f.u.: 0.0
ΔE_f in eV per formula unit: 1.04
VASP energy in eV/atom: -4.38

---

## NaBeV (PBE-GGA)

Data for a relaxed NaBeV crystal.

```
data_NaBeV
_chemical_formula_sum 'Na2 Be2 V2'
_symmetry_space_group_name_H-M 'P 1 2/c 1'
_symmetry_Int_Tables_number 13
_symmetry_space_group_name_Hall '-P 2yc'
_cell_length_a 2.426
_cell_length_b 7.577
_cell_length_c 5.131
_cell_angle_alpha 90.00
_cell_angle_beta 90.19
_cell_angle_gamma 90.00
loop_
_atom_site_label
_atom_site_type_symbol
_atom_site_fract_x
_atom_site_fract_y
_atom_site_fract_z
Na1 Na 0.000 0.128 0.250
Be1 Be 0.500 0.271 0.750
V1 V 0.000 0.500 0.000
```

Properties
D(E_F) in states/eV/cell: 5.00
Magnetization in μB/f.u.: 0.0
ΔE_f in eV per formula unit: 1.57
VASP energy in eV/atom: -4.20

---

## NaBeV (PBE-GGA)

Data for a relaxed NaBeV crystal.

```
data_NaBeV
_chemical_formula_sum 'Na4 Be4 V4'
_symmetry_space_group_name_H-M 'P n m a'
_symmetry_Int_Tables_number 62
_symmetry_space_group_name_Hall '-P 2ac 2n'
_cell_length_a 7.707
_cell_length_b 2.285
_cell_length_c 9.918
_cell_angle_alpha 90.00
_cell_angle_beta 90.00
_cell_angle_gamma 90.00
loop_
_atom_site_label
_atom_site_type_symbol
_atom_site_fract_x
_atom_site_fract_y
_atom_site_fract_z
Na1 Na 0.166 0.250 0.078
Be1 Be 0.160 0.250 0.794
V1 V 0.052 0.250 0.374
```

Properties
D(E_F) in states/eV/cell: 6.42
Magnetization in μB/f.u.: 0.0
ΔE_f in eV per formula unit: 1.57
VASP energy in eV/atom: -4.20

---

## NaBeV (PBE-GGA)

Data for a relaxed NaBeV crystal.

```
data_NaBeV
_chemical_formula_sum 'Na4 Be4 V4'
_symmetry_space_group_name_H-M 'F -4 3 m'
_symmetry_Int_Tables_number 216
_symmetry_space_group_name_Hall 'F -4 2 3'
_cell_length_a 6.179
_cell_length_b 6.179
_cell_length_c 6.179
_cell_angle_alpha 90.00
_cell_angle_beta 90.00
_cell_angle_gamma 90.00
loop_
_atom_site_label
_atom_site_type_symbol
_atom_site_fract_x
_atom_site_fract_y
_atom_site_fract_z
Na1 Na 0.000 0.000 0.000
Be1 Be 0.250 0.250 0.250
V1 V 0.000 0.000 0.500
```

Properties
D(E_F) in states/eV/cell: 17.96
Magnetization in μB/f.u.: 3.6
ΔE_f in eV per formula unit: 3.78
VASP energy in eV/atom: -3.46

---

## Na3BeV (PBE-GGA)

Data for a relaxed Na3BeV crystal.

```
data_Na3BeV
_chemical_formula_sum 'Na3 Be1 V1'
_symmetry_space_group_name_H-M 'P m -3 m'
_symmetry_Int_Tables_number 221
_symmetry_space_group_name_Hall '-P 4 2 3'
_cell_length_a 5.661
_cell_length_b 5.661
_cell_length_c 5.661
_cell_angle_alpha 90.00
_cell_angle_beta 90.00
_cell_angle_gamma 90.00
loop_
_atom_site_label
_atom_site_type_symbol
_atom_site_fract_x
_atom_site_fract_y
_atom_site_fract_z
Na1 Na 0.000 0.000 0.500
Be1 Be 0.500 0.500 0.500
V1 V 0.000 0.000 0.000
```

Properties
D(E_F) in states/eV/cell: 7.71
Magnetization in μB/f.u.: 5.0
ΔE_f in eV per formula unit: 7.38
VASP energy in eV/atom: -1.88

---

## NaBeV (PBE-GGA)

Data for a relaxed NaBeV crystal.

```
data_NaBeV
_chemical_formula_sum 'Na1 Be1 V1'
_symmetry_space_group_name_H-M 'P -6 m 2'
_symmetry_Int_Tables_number 187
_symmetry_space_group_name_Hall 'P -6 2'
_cell_length_a 4.6501
_cell_length_b 4.6501
_cell_length_c 2.7241
_cell_angle_alpha 90.00
_cell_angle_beta 90.00
_cell_angle_gamma 120.00
loop_
_atom_site_label
_atom_site_type_symbol
_atom_site_fract_x
_atom_site_fract_y
_atom_site_fract_z
Na1 Na 0.0000 0.0000 0.0000
Be1 Be 0.3333 0.6667 0.5000
V1 V 0.6667 0.3333 0.5000
```

Properties
D(E_F) in states/eV/cell: 2.17
Magnetization in μB/f.u.: 3.1
ΔE_f in eV per formula unit: 3.22
VASP energy in eV/atom: -3.65

---

## NaBeV (PBE-GGA)

Data for a relaxed NaBeV crystal.

```
data_NaBeV
_chemical_formula_sum 'Na2 Be2 V2'
_symmetry_space_group_name_H-M 'P -1'
_symmetry_Int_Tables_number 2
_symmetry_space_group_name_Hall '-P 1'
_cell_length_a 3.193
_cell_length_b 3.596
_cell_length_c 10.012
_cell_angle_alpha 79.83
_cell_angle_beta 89.94
_cell_angle_gamma 90.00
loop_
_atom_site_label
_atom_site_type_symbol
_atom_site_fract_x
_atom_site_fract_y
_atom_site_fract_z
Na1 Na 0.248 0.328 0.349
Be1 Be 0.250 0.466 0.070
V1 V 0.250 0.045 0.908
```

Properties
D(E_F) in states/eV/cell: 4.08
Magnetization in μB/f.u.: 0.0
ΔE_f in eV per formula unit: 0.83
VASP energy in eV/atom: -4.44

---

## NaBeV (PBE-GGA)

Data for a relaxed NaBeV crystal.

```
data_NaBeV
_chemical_formula_sum 'Na2 Be2 V2'
_symmetry_space_group_name_H-M 'P 4/n m m'
_symmetry_Int_Tables_number 129
_cell_length_a 4.162
_cell_length_b 4.162
_cell_length_c 6.582
_cell_angle_alpha 90.00
_cell_angle_beta 90.00
_cell_angle_gamma 90.00
loop_
_symmetry_equiv_pos_as_xyz
'x,y,z'
'-x,-y,-z'
'-y+1/2,x,z'
'y+1/2,-x,-z'
'-x+1/2,-y+1/2,z'
'x+1/2,y+1/2,-z'
'y,-x+1/2,z'
'-y,x+1/2,-z'
'x+1/2,-y,-z'
'-x+1/2,y,z'
'-y,-x,-z'
'y,x,z'
'-x,y+1/2,-z'
'x,-y+1/2,z'
'y+1/2,x+1/2,-z'
'-y+1/2,-x+1/2,z'
loop_
_atom_site_label
_atom_site_type_symbol
_atom_site_fract_x
_atom_site_fract_y
_atom_site_fract_z
Na1 Na 0.250 0.250 0.155
Be1 Be 0.250 0.750 0.500
V1 V 0.250 0.250 0.612
```

Properties
D(E_F) in states/eV/cell: 3.13
Magnetization in μB/f.u.: 0.0
ΔE_f in eV per formula unit: 2.56
VASP energy in eV/atom: -3.87

---

## NaBeV (PBE-GGA)

Data for a relaxed NaBeV crystal.

```
data_NaBeV
_chemical_formula_sum 'Na2 Be2 V2'
_symmetry_space_group_name_H-M 'P 1'
_symmetry_Int_Tables_number 1
_symmetry_space_group_name_Hall 'P 1'
_cell_length_a 4.037
_cell_length_b 4.886
_cell_length_c 5.703
_cell_angle_alpha 99.31
_cell_angle_beta 100.56
_cell_angle_gamma 95.49
loop_
_atom_site_label
_atom_site_type_symbol
_atom_site_fract_x
_atom_site_fract_y
_atom_site_fract_z
Na1 Na 0.000 0.000 0.000
Na2 Na 0.479 0.508 0.977
Be1 Be 0.301 0.479 0.453
Be2 Be 0.843 0.720 0.462
V1 V 0.395 0.992 0.517
V2 V 0.779 0.227 0.499
```

Properties
D(E_F) in states/eV/cell: 3.74
Magnetization in μB/f.u.: 0.0
ΔE_f in eV per formula unit: 1.71
VASP energy in eV/atom: -4.15

---

## NaBeV (PBE-GGA)

Data for a relaxed NaBeV crystal.

```
data_NaBeV
_chemical_formula_sum 'Na2 Be2 V2'
_symmetry_space_group_name_H-M 'P -1'
_symmetry_Int_Tables_number 2
_symmetry_space_group_name_Hall '-P 1'
_cell_length_a 2.633
_cell_length_b 5.735
_cell_length_c 6.700
_cell_angle_alpha 74.59
_cell_angle_beta 89.57
_cell_angle_gamma 76.82
loop_
_atom_site_label
_atom_site_type_symbol
_atom_site_fract_x
_atom_site_fract_y
_atom_site_fract_z
Na1 Na 0.135 0.214 0.074
Be1 Be 0.483 0.539 0.327
V1 V 0.164 0.181 0.524
```

Properties
D(E_F) in states/eV/cell: 3.08
Magnetization in μB/f.u.: 0.0
ΔE_f in eV per formula unit: 1.56
VASP energy in eV/atom: -4.20

---

## NaBeV (PBE-GGA)

Data for a relaxed NaBeV crystal.

```
data_NaBeV
_chemical_formula_sum 'Na4 Be4 V4'
_symmetry_space_group_name_H-M 'C m c m'
_symmetry_Int_Tables_number 63
_symmetry_space_group_name_Hall '-C 2c 2'
_cell_length_a 2.298
_cell_length_b 13.692
_cell_length_c 6.097
_cell_angle_alpha 90.00
_cell_angle_beta 90.00
_cell_angle_gamma 90.00
loop_
_atom_site_label
_atom_site_type_symbol
_atom_site_fract_x
_atom_site_fract_y
_atom_site_fract_z
Na1 Na 0.000 0.163 0.250
Be1 Be 0.000 0.500 0.000
V1 V 0.000 0.113 0.750
```

Properties
D(E_F) in states/eV/cell: 7.52
Magnetization in μB/f.u.: 0.0
ΔE_f in eV per formula unit: 2.03
VASP energy in eV/atom: -4.05

---

no.,energy relative to the lowest polymorph listed for this composition (eV/atom)
1,0.084
2,0.404
3,0.150
4,1.433
5,0.290
6,0.190
7,0.105
8,0.341
9,0.000
10,0.068
11,0.245
12,0.245
13,0.982
14,0.288
15,0.796
16,0.000
17,0.577
18,0.293
19,0.242
20,0.398